Record 1
CsV3O7: relaxed, PBE with a Hubbard U.

The density of states at the Fermi level is 0.012 states/eV per atom. The total DFT energy (no corrections) comes out at -6.860 eV/atom. The magnetic moment is 2.0 μB per formula unit.

Geometry as CIF:
```
data_CsV3O7
_chemical_formula_sum 'Cs1 V3 O7'
_cell_length_a 6.2265
_cell_length_b 6.2265
_cell_length_c 6.6950
_cell_angle_alpha 90.00
_cell_angle_beta 90.00
_cell_angle_gamma 120.00
_symmetry_space_group_name_H-M 'P 3 m 1'
_symmetry_Int_Tables_number 156
loop_
_symmetry_equiv_pos_as_xyz
'x,y,z'
'-y,x-y,z'
'-x+y,-x,z'
'-y,-x,z'
'-x+y,y,z'
'x,x-y,z'
loop_
_atom_site_label
_atom_site_type_symbol
_atom_site_fract_x
_atom_site_fract_y
_atom_site_fract_z
Cs1 Cs 0.0000 0.0000 0.0000
V1 V 0.1857 0.3715 0.4912
O1 O 0.0571 0.5286 0.6498
O2 O 0.2712 0.1356 0.4148
O3 O 0.3333 0.6667 0.3238
```

Record 2
CsVO2: relaxed, PBE with a Hubbard U.

The total DFT energy (no corrections) comes out at -6.108 eV/atom. The magnetic moment is 2.0 μB per formula unit.

Geometry as CIF:
```
data_CsVO2
_chemical_formula_sum 'Cs1 V1 O2'
_cell_length_a 3.4722
_cell_length_b 4.2498
_cell_length_c 6.3429
_cell_angle_alpha 90.00
_cell_angle_beta 92.11
_cell_angle_gamma 90.00
_symmetry_space_group_name_H-M 'P 1 m 1'
_symmetry_Int_Tables_number 6
loop_
_symmetry_equiv_pos_as_xyz
'x,y,z'
'x,-y,z'
loop_
_atom_site_label
_atom_site_type_symbol
_atom_site_fract_x
_atom_site_fract_y
_atom_site_fract_z
Cs1 Cs 0.0000 0.0000 0.0000
V1 V 0.5096 0.5000 0.5194
O1 O 0.4818 0.5000 0.7918
O2 O 0.9828 0.5000 0.3872
```

Record 3
Cs3VO4: relaxed, PBE with a Hubbard U.

The density of states at the Fermi level is 0.000 states/eV per atom. The total DFT energy (no corrections) comes out at -5.653 eV/atom. The magnetic moment is 0.1 μB per formula unit.

Geometry as CIF:
```
data_Cs3VO4
_chemical_formula_sum 'Cs12 V4 O16'
_cell_length_a 8.4932
_cell_length_b 10.2675
_cell_length_c 8.7586
_cell_angle_alpha 90.00
_cell_angle_beta 90.00
_cell_angle_gamma 90.00
_symmetry_space_group_name_H-M 'P n m a'
_symmetry_Int_Tables_number 62
loop_
_symmetry_equiv_pos_as_xyz
'x,y,z'
'-x,-y,-z'
'-x+1/2,-y,z+1/2'
'x+1/2,y,-z+1/2'
'x+1/2,-y+1/2,-z+1/2'
'-x+1/2,y+1/2,z+1/2'
'-x,y+1/2,-z'
'x,-y+1/2,z'
loop_
_atom_site_label
_atom_site_type_symbol
_atom_site_fract_x
_atom_site_fract_y
_atom_site_fract_z
Cs1 Cs 0.0377 0.0356 0.2221
Cs2 Cs 0.1790 0.7500 0.4436
V1 V 0.2300 0.7500 0.9901
O1 O 0.0379 0.7500 0.0623
O2 O 0.1712 0.1087 0.5485
O3 O 0.2221 0.7500 0.7888
```

Record 4
Cs2V4O9: relaxed, PBE with a Hubbard U.

The density of states at the Fermi level is 0.000 states/eV per atom. The total DFT energy (no corrections) comes out at -7.119 eV/atom. The magnetic moment is 4.0 μB per formula unit.

Geometry as CIF:
```
data_Cs2V4O9
_chemical_formula_sum 'Cs8 V16 O36'
_cell_length_a 5.8499
_cell_length_b 5.8499
_cell_length_c 31.1693
_cell_angle_alpha 90.00
_cell_angle_beta 90.00
_cell_angle_gamma 90.00
_symmetry_space_group_name_H-M 'I -4 2 d'
_symmetry_Int_Tables_number 122
_symmetry_space_group_name_Hall 'I -4 2bw'
loop_
_atom_site_label
_atom_site_type_symbol
_atom_site_fract_x
_atom_site_fract_y
_atom_site_fract_z
Cs1 Cs 0.2330 0.2500 0.1250
V1 V 0.1458 0.7118 0.5237
O1 O 0.0000 0.0000 0.5000
O2 O 0.1196 0.6803 0.9835
O3 O 0.2188 0.7357 0.6755
```

Record 5
CsVO2: relaxed, PBE with a Hubbard U.

The total DFT energy (no corrections) comes out at -6.002 eV/atom. The magnetic moment is 2.0 μB per formula unit.

Geometry as CIF:
```
data_CsVO2
_chemical_formula_sum 'Cs1 V1 O2'
_cell_length_a 3.5182
_cell_length_b 3.5182
_cell_length_c 7.0035
_cell_angle_alpha 90.00
_cell_angle_beta 90.00
_cell_angle_gamma 120.00
_symmetry_space_group_name_H-M 'P 3 m 1'
_symmetry_Int_Tables_number 156
loop_
_symmetry_equiv_pos_as_xyz
'x,y,z'
'-y,x-y,z'
'-x+y,-x,z'
'-y,-x,z'
'-x+y,y,z'
'x,x-y,z'
loop_
_atom_site_label
_atom_site_type_symbol
_atom_site_fract_x
_atom_site_fract_y
_atom_site_fract_z
Cs1 Cs 0.0000 0.0000 0.0000
V1 V 0.3333 0.6667 0.4830
O1 O 0.3333 0.6667 0.7336
O2 O 0.6667 0.3333 0.3870
```

Record 6
Cs4VO5: relaxed, PBE with a Hubbard U.

The density of states at the Fermi level is 0.011 states/eV per atom. The total DFT energy (no corrections) comes out at -5.094 eV/atom. The magnetic moment is 1.0 μB per formula unit.

Geometry as CIF:
```
data_Cs4VO5
_chemical_formula_sum 'Cs8 V2 O10'
_cell_length_a 8.6239
_cell_length_b 8.6239
_cell_length_c 8.1239
_cell_angle_alpha 90.00
_cell_angle_beta 90.00
_cell_angle_gamma 90.00
_symmetry_space_group_name_H-M 'I 4'
_symmetry_Int_Tables_number 79
loop_
_symmetry_equiv_pos_as_xyz
'x,y,z'
'-y,x,z'
'-x,-y,z'
'y,-x,z'
'x+1/2,y+1/2,z+1/2'
'-y+1/2,x+1/2,z+1/2'
'-x+1/2,-y+1/2,z+1/2'
'y+1/2,-x+1/2,z+1/2'
loop_
_atom_site_label
_atom_site_type_symbol
_atom_site_fract_x
_atom_site_fract_y
_atom_site_fract_z
Cs1 Cs 0.1402 0.6855 0.0000
V1 V 0.0000 0.0000 0.7241
O1 O 0.0000 0.0000 0.9397
O2 O 0.0693 0.8021 0.6664
```

Record 7
Cs3VO3: relaxed, PBE with a Hubbard U.

The total DFT energy (no corrections) comes out at -5.068 eV/atom. The magnetic moment is 2.0 μB per formula unit.

Geometry as CIF:
```
data_Cs3VO3
_chemical_formula_sum 'Cs12 V4 O12'
_cell_length_a 8.2110
_cell_length_b 7.2877
_cell_length_c 11.6499
_cell_angle_alpha 90.00
_cell_angle_beta 94.93
_cell_angle_gamma 90.00
_symmetry_space_group_name_H-M 'P 1 21/c 1'
_symmetry_Int_Tables_number 14
loop_
_symmetry_equiv_pos_as_xyz
'x,y,z'
'-x,-y,-z'
'-x,y+1/2,-z+1/2'
'x,-y+1/2,z+1/2'
loop_
_atom_site_label
_atom_site_type_symbol
_atom_site_fract_x
_atom_site_fract_y
_atom_site_fract_z
Cs1 Cs 0.0416 0.1213 0.1614
Cs2 Cs 0.3398 0.1690 0.9301
Cs3 Cs 0.3767 0.6709 0.8099
V1 V 0.1518 0.5828 0.0669
O1 O 0.0912 0.0524 0.4186
O2 O 0.2432 0.6830 0.5436
O3 O 0.2742 0.0395 0.6889
```

Record 8
CsVO2: relaxed, PBE with a Hubbard U.

The total DFT energy (no corrections) comes out at -6.185 eV/atom. The magnetic moment is 2.0 μB per formula unit.

Geometry as CIF:
```
data_CsVO2
_chemical_formula_sum 'Cs4 V4 O8'
_cell_length_a 6.2168
_cell_length_b 4.5475
_cell_length_c 9.7589
_cell_angle_alpha 90.00
_cell_angle_beta 90.00
_cell_angle_gamma 90.00
_symmetry_space_group_name_H-M 'P n m a'
_symmetry_Int_Tables_number 62
loop_
_symmetry_equiv_pos_as_xyz
'x,y,z'
'-x,-y,-z'
'-x+1/2,-y,z+1/2'
'x+1/2,y,-z+1/2'
'x+1/2,-y+1/2,-z+1/2'
'-x+1/2,y+1/2,z+1/2'
'-x,y+1/2,-z'
'x,-y+1/2,z'
loop_
_atom_site_label
_atom_site_type_symbol
_atom_site_fract_x
_atom_site_fract_y
_atom_site_fract_z
Cs1 Cs 0.0015 0.2500 0.1317
V1 V 0.0006 0.7500 0.3788
O1 O 0.0010 0.2500 0.4247
O2 O 0.2490 0.2500 0.7503
```